PBE Ho12AlCo5, optimized geometry; symmetry = No. 71; density of states at the Fermi level = 14.63 states/eV/cell; density = 9012 kg/m³; energy of formation = -0.23 eV per atom; volume = 23.55 Å³/atom; M_tot = 0.0 μB per formula unit
1.0
7.6673 -0.0109 -2.9095
-4.0092 6.7400 -2.3983
0.0102 0.0109 8.2008
Ho Co Al
12 5 1
Cartesian
2.9194 1.2552 0.5517 Ho
6.1228 1.2552 2.7594 Ho
6.1161 0.1362 -0.6587 Ho
-2.4545 5.4848 0.1336 Ho
4.0758 2.1204 -2.6827 Ho
1.0664 2.1313 3.4370 Ho
2.6018 4.6086 -0.5440 Ho
-0.1500 2.7247 0.2176 Ho
0.7488 5.4848 2.3413 Ho
-0.4075 4.6196 5.5757 Ho
3.8183 4.0153 2.6754 Ho
-2.4478 6.6037 3.5517 Ho
3.3855 0.7652 3.3033 Co
0.0000 0.0000 0.0000 Co
1.3766 2.5323 -1.9974 Co
0.2828 5.9748 -0.4103 Co
2.2815 4.1968 -3.3104 Co
-1.9995 3.3755 2.9012 Al